1.
The following is a PBE-GGA calculation of a relaxed structure of HfZr2In3IrAu2, from the Open Quantum Materials Database.

Properties
uncorrected energy: -6.088 eV per atom

Unit cell a=4.0746 b=12.4446 c=7.2381 alpha=90.00 beta=90.00 gamma=90.00
Closest atoms and distances in Å follow each position.
Space group Amm2 (No. 38)
Inequivalent atoms, fractional coordinates:
Hf1 0.0000 0.0000 0.0000 x2  1 Ir 2.80, 4 Au 2.97
Zr1 0.0000 0.1988 0.4079 x4  1 Ir 2.89, 4 Au 3.02-3.03, 6 In 3.21-3.23
In1 0.5000 0.0000 0.3551 x2  2 Au 2.72, 2 Ir 2.77
In2 0.5000 0.1301 0.7324 x4  2 Au 2.72-2.74, 2 Ir 2.74
Ir1 0.0000 0.0000 0.6135 x2  6 In 2.74-2.77, 1 Hf 2.80, 2 Zr 2.89
Au1 0.5000 0.1631 0.1044 x4  3 In 2.72-2.74, 2 Hf 2.97, 4 Zr 3.02-3.03


2.
The following is a PBE-GGA calculation of a relaxed structure of Hf4InAuN2, from the Open Quantum Materials Database.

Properties
uncorrected energy: -8.885 eV per atom

Unit cell a=3.2565 b=3.2565 c=14.2962 alpha=90.00 beta=90.00 gamma=120.00
Closest atoms and distances in Å follow each position.
Space group P-6m2 (No. 187)
Inequivalent atoms, fractional coordinates:
Hf1 0.0000 0.0000 0.1568 x2  3 N 2.24
Hf2 0.6667 0.3333 0.3295 x2  3 N 2.25
In1 0.0000 0.0000 0.5000 x1  6 Hf 3.08, 6 In 3.26
Au1 0.6667 0.3333 0.0000 x1  6 Hf 2.93, 6 Au 3.26
N1 0.3333 0.6667 0.2425 x2  6 Hf 2.24-2.25


3.
The following is a PBE-GGA calculation of a relaxed structure of HfInAu3O4, from the Open Quantum Materials Database.

Properties
uncorrected energy: -5.344 eV per atom

Unit cell a=5.6511 b=5.6511 c=5.6511 alpha=90.00 beta=90.00 gamma=90.00
Closest atoms and distances in Å follow each position.
Space group P-43m (No. 215)
Inequivalent atoms, fractional coordinates:
Hf1 0.0000 0.0000 0.0000 x1  4 O 2.03
In1 0.5000 0.5000 0.5000 x1  4 O 2.86
Au1 0.0000 0.0000 0.5000 x3  4 O 2.34
O1 0.2079 0.2079 0.7921 x4  1 Hf 2.03


4.
The following is a PBE-GGA calculation of a relaxed structure of HfZrIn2Pd2Au2, from the Open Quantum Materials Database.

Properties
uncorrected energy: -5.673 eV per atom

Unit cell a=4.7345 b=4.7345 c=6.7159 alpha=90.00 beta=90.00 gamma=90.00
Closest atoms and distances in Å follow each position.
Space group P-4m2 (No. 115)
Inequivalent atoms, fractional coordinates:
Hf1 0.0000 0.0000 0.0000 x1  4 Pd 2.88, 4 Au 2.89
Zr1 0.5000 0.5000 0.5000 x1  4 Au 2.92, 4 Pd 2.92
In1 0.0000 0.0000 0.5000 x1  4 Au 2.92, 4 Pd 2.92
In2 0.5000 0.5000 0.0000 x1  4 Pd 2.88, 4 Au 2.89
Pd1 0.0000 0.5000 0.2443 x2  4 In 2.88-2.92, 2 Hf 2.88, 2 Zr 2.92
Au1 0.0000 0.5000 0.7535 x2  4 In 2.89-2.92, 2 Hf 2.89, 2 Zr 2.92


5.
The following is a PBE-GGA calculation of a relaxed structure of HfInAuSeS2, from the Open Quantum Materials Database.

Properties
uncorrected energy: -5.432 eV per atom

Unit cell a=3.7309 b=15.0103 c=10.3384 alpha=90.00 beta=90.00 gamma=90.00
Closest atoms and distances in Å follow each position.
Space group Cmcm (No. 63)
Inequivalent atoms, fractional coordinates:
Hf1 0.0000 0.0000 0.0000 x4  4 S 2.57, 2 Se 2.68
In1 0.0000 0.3080 0.2500 x4  2 Se 2.86, 2 Au 2.86, 2 S 3.08
Au1 0.0000 0.3368 0.7500 x4  2 S 2.41
Se1 0.0000 0.0479 0.7500 x4  2 Hf 2.68, 2 In 2.86
S1 0.0000 0.3837 0.5272 x8  1 Au 2.41, 2 Hf 2.57


6.
The following is a PBE-GGA calculation of a relaxed structure of HfInTe2AuS, from the Open Quantum Materials Database.

Properties
uncorrected energy: -4.910 eV per atom

Unit cell a=4.0500 b=15.2825 c=10.1472 alpha=90.00 beta=90.00 gamma=90.00
Closest atoms and distances in Å follow each position.
Space group Cmcm (No. 63)
Inequivalent atoms, fractional coordinates:
Hf1 0.0000 0.0000 0.0000 x4  2 S 2.72, 4 Te 2.96
In1 0.0000 0.2547 0.2500 x4  6 Te 3.31-3.47, 2 S 3.43
Te1 0.0000 0.3608 0.5343 x8  1 Au 2.73, 2 Hf 2.96
Au1 0.0000 0.4674 0.7500 x4  2 S 2.50, 2 Te 2.73
S1 0.0000 0.0639 0.7500 x4  2 Au 2.50, 2 Hf 2.72


7.
The following is a PBE-GGA calculation of a relaxed structure of HfInTeAuS2, from the Open Quantum Materials Database.

Properties
uncorrected energy: -5.213 eV per atom

Unit cell a=3.7830 b=15.1830 c=10.7329 alpha=90.00 beta=90.00 gamma=90.00
Closest atoms and distances in Å follow each position.
Space group Cmcm (No. 63)
Inequivalent atoms, fractional coordinates:
Hf1 0.0000 0.0000 0.0000 x4  4 S 2.58
In1 0.0000 0.2297 0.2500 x4  2 Au 3.17, 2 Te 3.40, 4 S 3.47
Te1 0.0000 0.0839 0.7500 x4  2 Au 2.92, 2 Hf 2.97
Au1 0.0000 0.4377 0.7500 x4  2 S 2.44
S1 0.0000 0.3867 0.5345 x8  1 Au 2.44, 2 Hf 2.58


8.
The following is a PBE-GGA calculation of a relaxed structure of HfInTe3Au, from the Open Quantum Materials Database.

Properties
uncorrected energy: -4.620 eV per atom

Unit cell a=13.2483 b=4.1392 c=12.5953 alpha=90.00 beta=90.00 gamma=90.00
Closest atoms and distances in Å follow each position.
Space group Pnma (No. 62)
Inequivalent atoms, fractional coordinates:
Hf1 0.0434 0.2500 0.1742 x4  6 Te 2.76-3.09
In1 0.1856 0.2500 0.4926 x4  2 Au 2.92, 2 Te 3.22
Te1 0.0092 0.7500 0.3352 x4  1 Au 2.81, 2 Hf 2.93
Te2 0.0833 0.2500 0.9326 x4  1 Au 2.88, 3 Hf 2.98-3.09
Te3 0.2480 0.7500 0.6772 x4  1 Hf 2.76, 2 Au 2.88
Au1 0.2210 0.7500 0.3332 x4  4 Te 2.81-2.88, 2 In 2.92


9.
The following is a PBE-GGA calculation of a relaxed structure of HfInTe3Au, from the Open Quantum Materials Database.

Properties
uncorrected energy: -4.671 eV per atom

Unit cell a=4.0777 b=15.2850 c=10.8581 alpha=90.00 beta=90.00 gamma=90.00
Closest atoms and distances in Å follow each position.
Space group Cmcm (No. 63)
Inequivalent atoms, fractional coordinates:
Hf1 0.0000 0.0000 0.0000 x4  6 Te 2.95-2.99
In1 0.0000 0.2309 0.2500 x4  8 Te 3.40-3.72, 2 Au 3.56
Te1 0.0000 0.0823 0.7500 x4  2 Au 2.77, 2 Hf 2.99
Te2 0.0000 0.3635 0.5370 x8  1 Au 2.74, 2 Hf 2.95
Au1 0.0000 0.4597 0.7500 x4  4 Te 2.74-2.77


10.
The following is a PBE-GGA calculation of a relaxed structure of HfZrIn2Au2, from the Open Quantum Materials Database.

Properties
uncorrected energy: -5.515 eV per atom

Unit cell a=9.1703 b=4.5849 c=13.7561 alpha=90.00 beta=109.47 gamma=90.00
Closest atoms and distances in Å follow each position.
Space group Pm (No. 6)
Inequivalent atoms, fractional coordinates:
Hf1 0.0000 0.0000 0.0000 x1  4 Au 2.79-2.81
Hf2 0.1253 0.5000 0.7504 x1  4 Au 2.78-2.81
Hf3 0.2501 0.0000 0.5005 x1  4 Au 2.79-2.80
Hf4 0.4997 0.0000 0.0000 x1  4 Au 2.79-2.80
Zr1 0.3749 0.5000 0.2500 x1  4 Au 2.82
Zr2 0.6248 0.5000 0.7502 x1  4 Au 2.82-2.83
Zr3 0.7498 0.0000 0.5002 x1  4 Au 2.82
Zr4 0.8748 0.5000 0.2500 x1  4 Au 2.82-2.83
In1 0.9998 0.5000 0.5002 x1  4 Au 2.79-2.80
In2 0.1244 0.0000 0.2492 x1  4 Au 2.80-2.82
In3 0.2495 0.5000 0.9993 x1  4 Au 2.80
In4 0.3750 0.0000 0.7502 x1  4 Au 2.81-2.82
In5 0.5004 0.5000 0.5011 x1  4 Au 2.81-2.83
In6 0.6250 0.0000 0.2501 x1  4 Au 2.82-2.83
In7 0.7499 0.5000 0.0001 x1  4 Au 2.79
In8 0.8753 0.0000 0.7510 x1  4 Au 2.80-2.82
Au1 0.0615 0.5000 0.1230 x1  2 Hf 2.79, 4 In 2.79-2.82, 2 Zr 2.82-2.83
Au2 0.1876 0.0000 0.8752 x1  4 In 2.80-2.81, 4 Hf 2.80-2.81
Au3 0.3101 0.5000 0.6246 x1  4 In 2.79-2.81, 3 Hf 2.80, 1 Zr 2.83
Au4 0.4357 0.0000 0.3762 x1  1 Hf 2.79, 4 In 2.81-2.83, 3 Zr 2.82
Au5 0.5612 0.5000 0.1230 x1  2 Hf 2.79, 4 In 2.79-2.82, 2 Zr 2.82
Au6 0.6882 0.0000 0.8771 x1  2 Hf 2.79-2.80, 4 In 2.79-2.82, 2 Zr 2.82
Au7 0.8153 0.5000 0.6265 x1  1 Hf 2.78, 4 In 2.80-2.83, 3 Zr 2.82
Au8 0.9401 0.0000 0.3761 x1  1 Hf 2.79, 4 In 2.80-2.83, 3 Zr 2.82


11.
The following is a PBE-GGA calculation of a relaxed structure of Hf2IrAu3, from the Open Quantum Materials Database.

Properties
energy of formation from the pure elements: -3.8 eV per formula unit

Unit cell a=3.5271 b=3.5271 c=8.7240 alpha=90.00 beta=90.00 gamma=90.00
Closest atoms and distances in Å follow each position.
Space group P4mm (No. 99)
Inequivalent atoms, fractional coordinates:
Hf1 0.0000 0.0000 0.0000 x1  9 Au 2.84-2.97, 1 Ir 2.90
Hf2 0.5000 0.5000 0.4785 x1  4 Ir 2.80, 6 Au 2.81-3.06
Ir1 0.0000 0.0000 0.3329 x1  5 Hf 2.80-2.90, 5 Au 2.85-2.93
Au1 0.0000 0.0000 0.6591 x1  1 Ir 2.85, 4 Au 2.90, 5 Hf 2.95-2.97
Au2 0.5000 0.5000 0.1565 x1  5 Hf 2.81-2.84, 1 Au 2.86, 4 Ir 2.93
Au3 0.5000 0.5000 0.8288 x1  5 Au 2.86-2.90, 5 Hf 2.91-3.06


12.
The following is a PBE-GGA calculation of a relaxed structure of KHfAu, from the Open Quantum Materials Database.

Properties
uncorrected energy: -3.283 eV per atom

Unit cell a=6.8691 b=6.8691 c=6.8691 alpha=90.00 beta=90.00 gamma=90.00
Closest atoms and distances in Å follow each position.
Space group F-43m (No. 216)
Inequivalent atoms, fractional coordinates:
K1 0.0000 0.0000 0.0000 x4  4 Hf 2.97, 4 Au 2.97
Hf1 0.2500 0.2500 0.2500 x4  4 K 2.97
Au1 0.2500 0.2500 0.7500 x4  4 K 2.97


The records above give, respectively, V values of 183.5 131.3 180.5 150.5 144.7 157.0 154.1 172.7 169.2 136.3 108.5 81.0 Å³/f.u..
The records above give, respectively, ρ values of 11.69 13.33 8.72 12.20 7.27 8.22 7.35 8.40 8.57 10.88 17.44 8.50 Mg/m³.